V2ZnF6 | PBE+U | optimized geometry

Structure (extended XYZ):
```
27
Lattice="9.527 0.000 0.000 -4.763 8.250 0.000 0.000 0.000 4.434" Properties=species:S:1:pos:R:3 pbc="T T T"
V -1.613 2.795 0.000
V -3.150 5.456 0.000
V 3.227 0.000 0.000
V 1.613 2.795 0.000
V 6.300 0.000 0.000
V 3.150 5.456 0.000
Zn 0.000 0.000 0.000
Zn 0.000 5.500 2.196
Zn 4.763 2.750 2.238
F 0.000 1.840 3.458
F -3.170 7.330 3.458
F -1.542 4.610 3.334
F 1.593 0.920 0.976
F 0.000 3.715 1.088
F -1.546 6.393 1.088
F 1.542 4.610 3.334
F 0.000 7.281 3.334
F 3.218 1.858 3.346
F 1.546 6.393 1.088
F 4.763 0.969 1.100
F 3.221 3.641 1.100
F 6.309 1.858 3.346
F 4.763 4.535 3.346
F 3.170 7.330 3.458
F 6.306 3.641 1.100
F 7.933 0.920 0.976
F 4.763 6.411 0.976
```

Total DFT energy (no corrections) (hartree per atom): -0.203